No. 1
Computed, not measured: a geometry-optimized Ba2CrOs structure at the PBE level of DFT.

Properties
The value obtained for the density is 7.4 g cm⁻³. Its crystal system is cubic. For the total magnetization, the calculation gives 1.257 μB/atom. The energy above the most stable polymorph in this dataset is 66.2 kJ/mol of atoms. For the formation energy, the calculation gives 24.51 kcal/mol of atoms.

The structure in CIF format:
```
data_Ba2CrOs
_space_group_name_H-M_alt 'F m -3 m'
_space_group_IT_number 225
_space_group_name_Hall '-F 4 2 3'
_cell_length_a 7.756
_cell_length_b 7.756
_cell_length_c 7.756
_cell_angle_alpha 90.00
_cell_angle_beta 90.00
_cell_angle_gamma 90.00
loop_
_atom_site_label
_atom_site_fract_x
_atom_site_fract_y
_atom_site_fract_z
Ba1 0.250 0.250 0.250
Cr1 0.000 0.000 0.000
Os1 0.000 0.000 0.500
```

***

No. 2
Computed, not measured: a geometry-optimized PIr3 structure at the PBE level of DFT.

Properties
The value obtained for the density is 17.7 g cm⁻³. Its crystal system is orthorhombic. For the total magnetization, the calculation gives 0.000 μB/atom. The energy above the most stable polymorph in this dataset is 17.6 kJ/mol of atoms. For the formation energy, the calculation gives 3.63 kcal/mol of atoms.

The structure in CIF format:
```
data_PIr3
_space_group_name_H-M_alt 'C m m m'
_space_group_IT_number 65
_space_group_name_Hall '-C 2 2'
_cell_length_a 5.441
_cell_length_b 7.528
_cell_length_c 2.790
_cell_angle_alpha 90.00
_cell_angle_beta 90.00
_cell_angle_gamma 90.00
loop_
_atom_site_label
_atom_site_fract_x
_atom_site_fract_y
_atom_site_fract_z
P1 0.000 0.000 0.000
Ir1 0.000 0.500 0.000
Ir2 0.250 0.250 0.500
```

***

No. 3
Computed, not measured: a geometry-optimized Zn2CrSbPt structure at the PBE level of DFT.

Properties
The value obtained for the density is 6.6 g cm⁻³. Its crystal system is tetragonal. For the total magnetization, the calculation gives 0.851 μB/atom. The calculation puts the energy relative to the elements, uncorrected at 99.6 kJ/mol of atoms.

The structure in CIF format:
```
data_Zn2CrSbPt
_space_group_name_H-M_alt 'P 4/m m m'
_space_group_IT_number 123
_space_group_name_Hall '-P 4 2'
_cell_length_a 4.946
_cell_length_b 4.946
_cell_length_c 5.123
_cell_angle_alpha 90.00
_cell_angle_beta 90.00
_cell_angle_gamma 90.00
loop_
_atom_site_label
_atom_site_fract_x
_atom_site_fract_y
_atom_site_fract_z
Zn1 0.000 0.500 0.000
Cr1 0.000 0.000 0.500
Sb1 0.000 0.000 0.000
Pt1 0.500 0.500 0.500
```

***

No. 4
Computed, not measured: a geometry-optimized CaPSe structure at the PBE level of DFT.

Properties
The value obtained for the density is 3.3 g cm⁻³. Its crystal system is triclinic. For the total magnetization, the calculation gives 0.000 μB/atom. The calculation puts the energy relative to the elements, uncorrected at -99.4 kJ/mol of atoms.

The structure in CIF format:
```
data_CaPSe
_space_group_name_H-M_alt 'P 1'
_space_group_IT_number 1
_cell_length_a 4.144
_cell_length_b 4.243
_cell_length_c 9.747
_cell_angle_alpha 86.82
_cell_angle_beta 87.65
_cell_angle_gamma 62.47
loop_
_space_group_symop_operation_xyz
'x,y,z'
loop_
_atom_site_label
_atom_site_fract_x
_atom_site_fract_y
_atom_site_fract_z
Ca1 0.000 0.000 0.000
Ca2 0.342 0.364 0.648
P1 0.001 0.032 0.476
P2 0.462 0.921 0.356
Se1 0.334 0.322 0.166
Se2 0.676 0.673 0.822
```

***

No. 5
Computed, not measured: a geometry-optimized Mn2Al5Fe4 structure at the PBE level of DFT.

Properties
The value obtained for the density is 5.3 g cm⁻³. Its crystal system is monoclinic. For the total magnetization, the calculation gives 0.357 μB/atom. For the formation energy, the calculation gives -2.77 kcal/mol of atoms.

The structure in CIF format:
```
data_Mn2Al5Fe4
_space_group_name_H-M_alt 'C 1 2/m 1'
_space_group_IT_number 12
_cell_length_a 16.152
_cell_length_b 3.914
_cell_length_c 4.821
_cell_angle_alpha 90.00
_cell_angle_beta 106.84
_cell_angle_gamma 90.00
loop_
_space_group_symop_operation_xyz
'x,y,z'
'-x,-y,-z'
'-x,y,-z'
'x,-y,z'
'x+1/2,y+1/2,z'
'-x+1/2,-y+1/2,-z'
'-x+1/2,y+1/2,-z'
'x+1/2,-y+1/2,z'
loop_
_atom_site_label
_atom_site_fract_x
_atom_site_fract_y
_atom_site_fract_z
Mn1 0.080 0.000 0.078
Al1 0.000 0.000 0.500
Al2 0.120 0.500 0.458
Al3 0.195 0.500 0.026
Fe1 0.032 0.500 0.813
Fe2 0.223 0.000 0.380
```

***

No. 6
Computed, not measured: a geometry-optimized ScNbCuRe structure at the PBE level of DFT.

Properties
The value obtained for the density is 9.7 g cm⁻³. Its crystal system is cubic. For the total magnetization, the calculation gives 0.000 μB/atom. For the formation energy, the calculation gives -2.34 kcal/mol of atoms.

The structure in CIF format:
```
data_ScNbCuRe
_space_group_name_H-M_alt 'F -4 3 m'
_space_group_IT_number 216
_space_group_name_Hall 'F -4 2 3'
_cell_length_a 6.418
_cell_length_b 6.418
_cell_length_c 6.418
_cell_angle_alpha 90.00
_cell_angle_beta 90.00
_cell_angle_gamma 90.00
loop_
_atom_site_label
_atom_site_fract_x
_atom_site_fract_y
_atom_site_fract_z
Sc1 0.000 0.000 0.000
Nb1 0.000 0.000 0.500
Cu1 0.250 0.250 0.750
Re1 0.250 0.250 0.250
```

***

No. 7
Computed, not measured: a geometry-optimized ZrTaHg2Mo structure at the PBE level of DFT.

Properties
The value obtained for the density is 8.8 g cm⁻³. Its crystal system is tetragonal. For the total magnetization, the calculation gives 0.725 μB/atom. For the formation energy, the calculation gives 43.21 kcal/mol of atoms.

The structure in CIF format:
```
data_ZrTaHg2Mo
_space_group_name_H-M_alt 'P 4/m m m'
_space_group_IT_number 123
_space_group_name_Hall '-P 4 2'
_cell_length_a 5.400
_cell_length_b 5.400
_cell_length_c 4.965
_cell_angle_alpha 90.00
_cell_angle_beta 90.00
_cell_angle_gamma 90.00
loop_
_atom_site_label
_atom_site_fract_x
_atom_site_fract_y
_atom_site_fract_z
Zr1 0.000 0.000 0.000
Ta1 0.000 0.000 0.500
Hg1 0.000 0.500 0.000
Mo1 0.500 0.500 0.500
```

***

No. 8
Computed, not measured: a geometry-optimized HoAl11Pd structure at the PBE level of DFT.

Properties
The value obtained for the density is 4.2 g cm⁻³. Its crystal system is monoclinic. For the total magnetization, the calculation gives 0.000 μB/atom. For the formation energy, the calculation gives -5.11 kcal/mol of atoms.

The structure in CIF format:
```
data_HoAl11Pd
_space_group_name_H-M_alt 'C 1 2/m 1'
_space_group_IT_number 12
_cell_length_a 5.218
_cell_length_b 12.662
_cell_length_c 7.204
_cell_angle_alpha 90.00
_cell_angle_beta 108.76
_cell_angle_gamma 90.00
loop_
_space_group_symop_operation_xyz
'x,y,z'
'-x,-y,-z'
'-x,y,-z'
'x,-y,z'
'x+1/2,y+1/2,z'
'-x+1/2,-y+1/2,-z'
'-x+1/2,y+1/2,-z'
'x+1/2,-y+1/2,z'
loop_
_atom_site_label
_atom_site_fract_x
_atom_site_fract_y
_atom_site_fract_z
Ho1 0.000 0.000 0.000
Al1 0.000 0.000 0.500
Al2 0.107 0.392 0.221
Al3 0.170 0.177 0.354
Al4 0.250 0.250 0.000
Pd1 0.000 0.500 0.500
```

***

No. 9
Computed, not measured: a geometry-optimized Pr2Dy3Tm structure at the PBE level of DFT.

Properties
The value obtained for the density is 7.9 g cm⁻³. Its crystal system is monoclinic. For the total magnetization, the calculation gives 0.000 μB/atom. The energy above the most stable polymorph in this dataset is 0.0 kJ/mol of atoms. For the formation energy, the calculation gives 2.26 kcal/mol of atoms.

The structure in CIF format:
```
data_Pr2Dy3Tm
_space_group_name_H-M_alt 'C 1 2/m 1'
_space_group_IT_number 12
_cell_length_a 17.177
_cell_length_b 5.615
_cell_length_c 10.036
_cell_angle_alpha 90.00
_cell_angle_beta 125.13
_cell_angle_gamma 90.00
loop_
_space_group_symop_operation_xyz
'x,y,z'
'-x,-y,-z'
'-x,y,-z'
'x,-y,z'
'x+1/2,y+1/2,z'
'-x+1/2,-y+1/2,-z'
'-x+1/2,y+1/2,-z'
'x+1/2,-y+1/2,z'
loop_
_atom_site_label
_atom_site_fract_x
_atom_site_fract_y
_atom_site_fract_z
Pr1 0.007 0.000 0.357
Pr2 0.232 0.500 0.373
Dy1 0.046 0.500 0.890
Dy2 0.114 0.000 0.155
Dy3 0.211 0.000 0.927
Tm1 0.132 0.500 0.636
```

***

No. 10
Computed, not measured: a geometry-optimized DyZrSc3 structure at the PBE level of DFT.

Properties
The value obtained for the density is 5.1 g cm⁻³. Its crystal system is monoclinic. For the total magnetization, the calculation gives 0.000 μB/atom. The energy above the most stable polymorph in this dataset is 0.0 kJ/mol of atoms. For the formation energy, the calculation gives 0.93 kcal/mol of atoms.

The structure in CIF format:
```
data_DyZrSc3
_space_group_name_H-M_alt 'C 1 2/m 1'
_space_group_IT_number 12
_cell_length_a 16.896
_cell_length_b 4.604
_cell_length_c 6.639
_cell_angle_alpha 90.00
_cell_angle_beta 101.30
_cell_angle_gamma 90.00
loop_
_space_group_symop_operation_xyz
'x,y,z'
'-x,-y,-z'
'-x,y,-z'
'x,-y,z'
'x+1/2,y+1/2,z'
'-x+1/2,-y+1/2,-z'
'-x+1/2,y+1/2,-z'
'x+1/2,-y+1/2,z'
loop_
_atom_site_label
_atom_site_fract_x
_atom_site_fract_y
_atom_site_fract_z
Dy1 0.102 0.000 0.055
Zr1 0.205 0.500 0.366
Sc1 0.002 0.500 0.257
Sc2 0.105 0.000 0.548
Sc3 0.202 0.500 0.840
```

***

> What is the formula in the second record?

PIr3

***

> Among the records above, which one has the highest total magnetization?

Ba2CrOs